(1)
Density functional theory data (PBE) for a relaxed structure of LaAg2Mo.

```
8
Lattice="-0.9165 -3.9181 -0.7037 2.4489 0.0144 -3.2695 9.0495 -5.0012 4.2042" Properties=species:S:1:pos:R:3 pbc="T T T"
Ag 2.0181 -3.6014 0.2198
Ag 3.6559 -1.8270 -1.0975
Ag 8.0680 -7.1670 -0.2433
Ag 7.4217 -5.2145 1.5832
La 4.4496 -5.4356 0.7570
La 0.0000 0.0000 0.0000
Mo 6.1323 -3.4693 -0.5259
Mo 0.7662 -1.9519 -1.9866
```

Calculated values
calculated formation energy = 712 meV per atom
total magnetic moment = 0.91 μB per formula unit
calculated total energy = -4.653 eV per atom
space group = No. 122

---

(2)
Density functional theory data (PBE) for a relaxed structure of ScCdTc.

```
3
Lattice="5.4240 0.0273 0.0000 3.2708 4.3269 0.0000 -4.3474 -2.1771 2.4043" Properties=species:S:1:pos:R:3 pbc="T T T"
Tc 5.8722 2.9407 0.0000
Cd 0.0862 0.0432 0.0000
Sc 2.7364 1.3704 0.0000
```

Calculated values
calculated formation energy = 61 meV per atom
total magnetic moment = 0.00 μB per formula unit
calculated total energy = -5.810 eV per atom
space group = No. 107

---

(3)
Density functional theory data (PBE) for a relaxed structure of ZrTi2Ge.

```
8
Lattice="3.5443 0.0000 0.0000 -1.7726 5.1366 0.0000 0.0000 0.0000 8.0402" Properties=species:S:1:pos:R:3 pbc="T T T"
Ti -0.0007 3.7301 7.7230
Ti 1.7724 1.4065 0.3172
Ti 1.7724 1.4065 3.7029
Ti -0.0007 3.7301 4.3373
Zr 1.7721 4.5662 2.0101
Zr -0.0004 0.5704 6.0302
Ge 1.7710 2.7666 6.0302
Ge 0.0008 2.3700 2.0101
```

Calculated values
calculated formation energy = -481 meV per atom
total magnetic moment = 0.00 μB per formula unit
calculated total energy = -7.720 eV per atom
space group = No. 63

---

(4)
Density functional theory data (PBE) for a relaxed structure of DyScOsPd.

```
4
Lattice="4.7405 0.0000 0.0000 2.3702 4.1054 0.0000 2.3702 1.3685 3.8706" Properties=species:S:1:pos:R:3 pbc="T T T"
Sc 2.3702 1.3685 0.9676
Dy 7.1107 4.1054 2.9029
Pd 4.7405 2.7369 1.9353
Os 0.0000 0.0000 0.0000
```

Calculated values
calculated formation energy = -585 meV per atom
total magnetic moment = 0.00 μB per formula unit
calculated total energy = -7.424 eV per atom
space group = No. 216

---

(5)
Density functional theory data (PBE) for a relaxed structure of Pm6TlIr2.

```
18
Lattice="8.2284 -0.1314 -2.9857 -4.4346 7.1639 -2.3772 -0.0758 0.1314 8.7530" Properties=species:S:1:pos:R:3 pbc="T T T"
Ir 5.4215 0.0000 3.8352
Ir 2.7312 0.0000 1.9321
Ir 2.4046 2.7039 5.2468
Ir 1.3134 4.4600 -1.8566
Pm 5.5615 0.0955 0.7842
Pm -0.3122 4.5918 0.4414
Pm -0.4591 2.1596 6.1613
Pm 4.0303 2.5722 2.9488
Pm 0.5982 1.7255 2.6858
Pm 2.5715 2.0281 -0.5015
Pm -1.7786 5.5699 6.0457
Pm 1.1465 5.1358 3.8916
Pm 4.1771 5.0044 -2.7711
Pm 5.4967 1.5940 -2.6556
Pm 3.1198 5.4385 0.7043
Pm -1.8435 7.0684 2.6059
Tl 0.0000 0.0000 0.0000
Tl -2.2552 3.6477 3.1879
```

Calculated values
calculated formation energy = -491 meV per atom
total magnetic moment = 0.00 μB per formula unit
calculated total energy = -5.890 eV per atom
space group = No. 71

---

(6)
Density functional theory data (PBE) for a relaxed structure of Ca2CdPt.

```
4
Lattice="5.7054 -0.0012 0.0000 2.2177 5.2568 0.0000 -3.9616 -2.6278 3.1548" Properties=species:S:1:pos:R:3 pbc="T T T"
Pt 2.8527 -0.0006 1.5774
Ca 0.0000 0.0000 0.0000
Ca 1.1089 2.6284 1.5774
Cd 3.9616 2.6278 0.0000
```

Calculated values
calculated formation energy = -467 meV per atom
total magnetic moment = 0.00 μB per formula unit
calculated total energy = -3.207 eV per atom
space group = No. 119

---

(7)
Density functional theory data (PBE) for a relaxed structure of Ho8Te3PSe3.

```
15
Lattice="8.2440 0.0000 0.0000 -4.1220 7.1393 -0.0252 0.0000 -4.7353 6.9540" Properties=species:S:1:pos:R:3 pbc="T T T"
Se 2.0610 1.2020 3.4644
Se -2.0610 1.2020 3.4644
Se 4.1220 -2.3676 3.4770
Ho 1.9725 -1.2340 1.9838
Ho 0.0000 2.3867 1.9722
Ho 6.2714 -1.2340 1.9838
Ho 4.1220 2.4888 1.9707
Ho 0.0000 -0.0848 4.9582
Ho -2.1495 3.6381 4.9450
Ho 2.1495 3.6381 4.9450
Ho 4.1220 0.0173 4.9567
Te 0.0000 0.0000 0.0000
Te 2.0610 3.5697 -0.0126
Te -2.0610 3.5697 -0.0126
P 0.0000 -2.3676 3.4770
```

Calculated values
formation energy without anion corrections = -1402 meV/atom
total magnetic moment = 0.00 μB per formula unit
calculated total energy = -5.529 eV per atom
space group = No. 166

---

(8)
Density functional theory data (PBE) for a relaxed structure of CeGaNi.

```
3
Lattice="-3.2488 -1.1454 2.7944 -2.1571 -3.8353 -0.5594 0.6122 -3.3277 2.8683" Properties=species:S:1:pos:R:3 pbc="T T T"
Ce -2.3968 -4.1542 2.5516
Ga 0.0000 0.0000 0.0000
Ni -1.1984 -2.0771 1.2758
```

Calculated values
calculated formation energy = -443 meV per atom
total magnetic moment = 0.00 μB per formula unit
calculated total energy = -5.357 eV per atom
space group = No. 216

---

(9)
Density functional theory data (PBE) for a relaxed structure of CsHf2Al2.

```
5
Lattice="4.3543 0.0000 0.0000 0.0000 4.3543 0.0000 2.1772 2.1772 8.4946" Properties=species:S:1:pos:R:3 pbc="T T T"
Cs 0.0000 0.0000 0.0000
Al 2.1772 2.1772 2.4060
Al 4.3543 4.3543 6.0887
Hf 4.3543 2.1772 4.2473
Hf 2.1772 4.3543 4.2473
```

Calculated values
calculated formation energy = 496 meV per atom
total magnetic moment = 0.00 μB per formula unit
calculated total energy = -5.153 eV per atom
space group = No. 139

---

(10)
Density functional theory data (PBE) for a relaxed structure of LiAcIr.

```
6
Lattice="-1.9757 -1.2642 -3.4809 2.0965 -3.6340 0.1299 -5.6590 -0.6273 5.9704" Properties=species:S:1:pos:R:3 pbc="T T T"
Ac -1.8062 -3.4748 -0.2435
Ac -3.7320 -2.0507 2.8630
Ir -1.3277 -0.7296 1.0185
Ir -4.2105 -4.7959 1.6009
Li 1.0483 -1.8170 0.0649
Li -0.9878 -0.6321 -1.7405
```

Calculated values
calculated formation energy = -432 meV per atom
total magnetic moment = 0.00 μB per formula unit
calculated total energy = -5.393 eV per atom
space group = No. 139